Record 1
# ZnCo2Se (GGA-PBE, optimized geometry)
data_ZnCo2Se
_space_group_name_H-M_alt 'P 1'
_space_group_IT_number 1
_space_group_name_Hall 'P 1'
_cell_length_a 4.0897
_cell_length_b 4.0897
_cell_length_c 4.8815
_cell_angle_alpha 79.57
_cell_angle_beta 79.57
_cell_angle_gamma 41.76
loop_
_atom_site_label
_atom_site_type_symbol
_atom_site_fract_x
_atom_site_fract_y
_atom_site_fract_z
_atom_site_occupancy
Co1 Co 0.0036 0.0036 0.9794 1
Co2 Co 0.4964 0.4964 0.5206 1
Se1 Se 0.7500 0.7500 0.7500 1
Zn1 Zn 0.2500 0.2500 0.2500 1
# Relative energy among the computed polymorphs (kcal/mol of atoms): 1.75
# Formation energy without anion corrections (eV per atom): 0.1894
# Volume (Å³ per atom): 13.337
# Magnetization (μB per cell): 1.81
# Crystal system: monoclinic
# Space group: C2/m, No. 12

---

Record 2
# ZnCoSe2 (GGA-PBE, optimized geometry)
data_ZnCoSe2
_space_group_name_H-M_alt 'P 1'
_space_group_IT_number 1
_space_group_name_Hall 'P 1'
_cell_length_a 4.8912
_cell_length_b 4.0185
_cell_length_c 4.0184
_cell_angle_alpha 73.61
_cell_angle_beta 90.00
_cell_angle_gamma 90.00
loop_
_atom_site_label
_atom_site_type_symbol
_atom_site_fract_x
_atom_site_fract_y
_atom_site_fract_z
_atom_site_occupancy
Co1 Co 0.5000 0.7550 0.7548 1
Se1 Se 0.0000 0.8822 0.8824 1
Se2 Se 0.5000 0.3600 0.3597 1
Zn1 Zn 0.0000 0.5028 0.5031 1
# Formation energy without anion corrections (eV per atom): -0.1396
# Volume (Å³ per atom): 18.944
# Magnetization (μB per cell): 1.92
# Crystal system: orthorhombic
# Space group: Amm2, No. 38

---

Let's list total energy in order: -4.55 -3.98 eV per atom.